DFT (GGA+U) results for an optimized crystal structure of CdWF3.

Values from the calculation:
The offset from the most stable computed form comes out at 827 meV/atom.

Cell and atoms, written as CIF:
```
data_CdWF3
_chemical_formula_sum 'Cd1 W1 F3'
_cell_length_a 4.435
_cell_length_b 4.435
_cell_length_c 4.435
_cell_angle_alpha 90.00
_cell_angle_beta 90.00
_cell_angle_gamma 90.00
_space_group_name_H-M_alt 'P m -3 m'
_space_group_IT_number 221
_space_group_name_Hall '-P 4 2 3'
loop_
_atom_site_label
_atom_site_fract_x
_atom_site_fract_y
_atom_site_fract_z
_atom_site_occupancy
Cd1 0.000 0.000 0.000 1
W1 0.500 0.500 0.500 1
F1 0.000 0.000 0.500 1
```